Sb2WIO | PBE+U | relaxed

a = 4.493 Å, b = 4.493 Å, c = 6.175 Å
α = 90.00°, β = 90.00°, γ = 90.00°
Space group P4/mmm (No. 123)
Unique sites:
Sb  0.000  0.500  0.000 [2 per cell]
W  0.000  0.000  0.500 [1 per cell]
I  0.500  0.500  0.500 [1 per cell]
O  0.500  0.500  0.000 [1 per cell]

Values from the calculation:
ΔE to the lowest computed polymorph ... 0 meV per atom
Magnetization ... 3.05 μB/f.u.